An optimized crystal structure of Tm3Hg2Au2, computed with PBE.

Structure (POSCAR):
```
Tm3Hg2Au2
1.0
-2.4472 -2.0742 2.2248
2.0197 0.7097 2.8832
-7.5977 8.7016 3.1803
Tm Hg Au
3 2 2
direct
0.8431 0.0000 0.3138
0.0000 0.0000 0.0000
0.1569 0.0000 0.6862
0.5753 0.5000 0.8495
0.4247 0.5000 0.1505
0.7084 0.5000 0.5832
0.2916 0.5000 0.4168
```

Computed properties:
The calculation puts the volume at 165.7 Å³ per cell. The raw total energy is -3.558 eV per atom. The value obtained for the density of states at the Fermi level is 3.430 states/eV/cell. The calculation puts the magnetization at 0.00 μB/cell. The calculation puts the formation energy at -0.619 eV per atom.

=====

An optimized crystal structure of Tm3HgAu4, computed with PBE.

Structure (POSCAR):
```
Tm3HgAu4
1.0
4.8660 0.0000 0.0000
0.0000 7.3754 0.0000
0.0000 0.0000 9.7379
Tm Au Hg
6 8 2
direct
0.0000 0.0000 0.0000
0.0000 0.0000 0.5000
0.5002 0.0000 0.7500
0.4998 0.0000 0.2500
0.5005 0.5000 0.7500
0.4995 0.5000 0.2500
0.5000 0.7597 0.0000
0.5000 0.7597 0.5000
0.5000 0.2403 0.0000
0.5000 0.2403 0.5000
0.0005 0.7597 0.7500
0.9995 0.7597 0.2500
0.9995 0.2403 0.2500
0.0005 0.2403 0.7500
0.0000 0.5000 0.0000
0.0000 0.5000 0.5000
```

Computed properties:
The calculation puts the volume at 349.5 Å³ per cell. The raw total energy is -4.077 eV per atom. The value obtained for the density of states at the Fermi level is 9.551 states/eV/cell. The calculation puts the magnetization at 0.00 μB/cell. The calculation puts the formation energy at -0.724 eV per atom.

=====

An optimized crystal structure of Tm4Hg3Au, computed with PBE.

Structure (POSCAR):
```
Tm4Hg3Au
1.0
-3.5525 -0.7939 0.1109
0.2837 -1.7163 -3.1995
3.0017 -12.4608 6.9505
Tm Au Hg
4 1 3
direct
0.0000 0.0000 0.8828
0.0000 0.0000 0.1172
0.0000 0.0000 0.3721
0.0000 0.0000 0.6279
0.5000 0.5000 0.0000
0.5000 0.5000 0.2478
0.5000 0.5000 0.5000
0.5000 0.5000 0.7522
```

Computed properties:
The calculation puts the volume at 193.4 Å³ per cell. The raw total energy is -3.345 eV per atom. The value obtained for the density of states at the Fermi level is 3.691 states/eV/cell. The calculation puts the magnetization at 0.00 μB/cell. The calculation puts the formation energy at -0.586 eV per atom.

=====

An optimized crystal structure of TmZnHgAu, computed with PBE.

Structure (POSCAR):
```
TmZnHgAu
1.0
-2.1650 -0.7016 -4.2880
2.6711 -0.9440 -3.9421
-0.0803 -4.4305 -1.9825
Zn Tm Au Hg
1 1 1 1
direct
0.0000 0.0000 0.0000
0.5000 0.5000 0.5000
0.2500 0.2500 0.2500
0.7500 0.7500 0.7500
```

Computed properties:
The calculation puts the volume at 80.9 Å³ per cell. The raw total energy is -2.797 eV per atom. The value obtained for the density of states at the Fermi level is 1.668 states/eV/cell. The calculation puts the magnetization at 0.00 μB/cell. The calculation puts the formation energy at -0.466 eV per atom.

=====

An optimized crystal structure of TmZrHgAu, computed with PBE.

Structure (POSCAR):
```
TmZrHgAu
1.0
-2.0463 -4.5575 -0.4380
-0.5814 -2.0624 -4.5342
2.8392 -3.9031 -1.3621
Tm Au Hg Zr
1 1 1 1
direct
0.7500 0.7500 0.7500
0.0000 0.0000 0.0000
0.5000 0.5000 0.5000
0.2500 0.2500 0.2500
```

Computed properties:
The calculation puts the volume at 89.2 Å³ per cell. The raw total energy is -4.581 eV per atom. The value obtained for the density of states at the Fermi level is 3.438 states/eV/cell. The calculation puts the magnetization at 0.76 μB/cell. The calculation puts the formation energy at -0.431 eV per atom.

=====

An optimized crystal structure of UHgAu, computed with PBE.

Structure (POSCAR):
```
UHgAu
1.0
-2.7744 -1.2150 0.1023
0.2511 -0.9849 -4.8886
1.6007 -3.3760 3.3123
Au U Hg
1 1 1
direct
0.1669 0.0000 0.0000
0.6668 0.3333 0.6667
0.1663 0.6667 0.3333
```

Computed properties:
The calculation puts the volume at 65.4 Å³ per cell. The raw total energy is -5.043 eV per atom. The value obtained for the density of states at the Fermi level is 4.611 states/eV/cell. The calculation puts the magnetization at 2.90 μB/cell. The calculation puts the formation energy at -0.088 eV per atom.

=====

An optimized crystal structure of UHgAu, computed with PBE.

Structure (POSCAR):
```
UHgAu
1.0
-2.6113 -1.5715 -0.8653
0.2755 -1.8612 2.5490
-2.5084 5.9173 2.6229
Au U Hg
1 1 1
direct
0.6683 0.6683 0.3367
0.0067 0.0067 0.0133
0.3250 0.3250 0.6500
```

Computed properties:
The calculation puts the volume at 65.9 Å³ per cell. The raw total energy is -4.908 eV per atom. The value obtained for the density of states at the Fermi level is 6.512 states/eV/cell. The calculation puts the magnetization at 2.87 μB/cell. The calculation puts the formation energy at 0.048 eV per atom.

=====

An optimized crystal structure of UHgAu4, computed with PBE.

Structure (POSCAR):
```
UHgAu4
1.0
5.6155 0.0000 0.0000
2.8077 4.8631 0.0000
2.8077 1.6210 4.5850
Au U Hg
4 1 1
direct
0.6246 0.6246 0.1261
0.6246 0.1261 0.6246
0.6246 0.6246 0.6246
0.1261 0.6246 0.6246
0.0000 0.0000 0.0000
0.2500 0.2500 0.2500
```

Computed properties:
The calculation puts the volume at 125.2 Å³ per cell. The raw total energy is -4.167 eV per atom. The value obtained for the density of states at the Fermi level is 12.629 states/eV/cell. The calculation puts the magnetization at 2.57 μB/cell. The calculation puts the formation energy at -0.051 eV per atom.

=====

An optimized crystal structure of UHgAu, computed with PBE.

Structure (POSCAR):
```
UHgAu
1.0
-0.6903 3.9426 1.2768
-1.8815 0.8552 -3.6578
-6.8154 -2.1647 2.9996
U Au Hg
2 2 2
direct
0.0000 0.0000 0.0000
0.5000 0.5000 0.0000
0.0000 0.5000 0.7043
0.5000 0.0000 0.2957
0.0000 0.5000 0.3403
0.5000 0.0000 0.6597
```

Computed properties:
The calculation puts the volume at 136.9 Å³ per cell. The raw total energy is -4.852 eV per atom. The value obtained for the density of states at the Fermi level is 11.692 states/eV/cell. The calculation puts the magnetization at 5.50 μB/cell. The calculation puts the formation energy at 0.104 eV per atom.

=====

An optimized crystal structure of VHgAu3, computed with PBE.

Structure (POSCAR):
```
VHgAu3
1.0
5.0047 0.0000 0.0000
0.0000 5.0047 0.0000
0.0000 0.0000 5.0047
Au Hg V
3 1 1
direct
0.0000 0.5000 0.0000
0.0000 0.0000 0.5000
0.5000 0.0000 0.0000
0.5000 0.5000 0.5000
0.0000 0.0000 0.0000
```

Computed properties:
The calculation puts the volume at 125.4 Å³ per cell. The raw total energy is -3.085 eV per atom. The value obtained for the density of states at the Fermi level is 5.156 states/eV/cell. The calculation puts the magnetization at 2.29 μB/cell. The calculation puts the formation energy at 0.765 eV per atom. The energy above the most stable polymorph in this dataset comes out at 0 kJ/mol of formula units.

=====

An optimized crystal structure of VHgAu, computed with PBE.

Structure (POSCAR):
```
VHgAu
1.0
-4.9264 1.2451 -1.9697
-1.3488 -0.0767 -4.2141
-4.2426 -5.3450 -0.3067
Hg V Au
2 2 2
direct
0.7500 0.5000 0.5000
0.2500 0.5000 0.5000
0.8671 0.2658 0.0000
0.1329 0.7342 0.0000
0.6054 0.0000 0.7893
0.3946 0.0000 0.2107
```

Computed properties:
The calculation puts the volume at 119.0 Å³ per cell. The raw total energy is -3.790 eV per atom. The value obtained for the density of states at the Fermi level is 4.670 states/eV/cell. The calculation puts the magnetization at 0.00 μB/cell. The calculation puts the formation energy at 0.443 eV per atom.

=====

An optimized crystal structure of VHg2Au, computed with PBE.

Structure (POSCAR):
```
VHg2Au
1.0
-0.3846 -1.2811 -2.6638
2.3407 -1.1196 -1.4672
-0.8891 -10.3009 3.4145
Au Hg V
1 2 1
direct
0.5000 0.5000 0.5000
0.0860 0.0860 0.7420
0.9140 0.9140 0.2580
0.0000 0.0000 0.0000
```

Computed properties:
The calculation puts the volume at 82.7 Å³ per cell. The raw total energy is -2.702 eV per atom. The value obtained for the density of states at the Fermi level is 3.796 states/eV/cell. The calculation puts the magnetization at 2.28 μB/cell. The calculation puts the formation energy at 0.548 eV per atom. The energy above the most stable polymorph in this dataset comes out at 99 kJ/mol of formula units.